VASP calculation (PBE) on a relaxed In2BiHPb crystal.

Properties
ΔE to the lowest computed polymorph = 0.0000 eV per atom

Cell lengths 4.9765, 4.9765, 4.9969 Å; angles 90.00, 90.00, 90.00 degrees
With the nearest neighbours (Å) after each atom.
Element x y z (fractional)
In (0.0000, 0.5000, 0.0000)  2 H 2.49
In (0.5000, 0.0000, 0.0000)  2 H 2.49
Bi (0.0000, 0.0000, 0.5000)  4 Pb 3.52, 8 In 3.53
H (0.5000, 0.5000, 0.0000)  4 In 2.49, 2 Pb 2.50
Pb (0.5000, 0.5000, 0.5000)  2 H 2.50

VASP calculation (PBE) on a relaxed InBi2H2Pd7 crystal.

Properties
total DFT energy (no corrections) = -4.775 eV/atom

Cell lengths 4.0729, 4.0729, 11.7299 Å; angles 99.96, 99.96, 90.03 degrees
With the nearest neighbours (Å) after each atom.
Element x y z (fractional)
In (0.0000, 0.0000, 0.0000)  12 Pd 2.88
Bi (0.1948, 0.1948, 0.3924)  9 Pd 2.86-3.17
Bi (0.8052, 0.8052, 0.6076)  9 Pd 2.86-3.17
H (0.4176, 0.4176, 0.8275)  6 Pd 1.96-2.09
H (0.5824, 0.5824, 0.1725)  6 Pd 1.96-2.09
Pd (0.0891, 0.5889, 0.1785)  2 H 2.02-2.05
Pd (0.3224, 0.3224, 0.6436)  1 H 2.09
Pd (0.4111, 0.9109, 0.8214)  2 H 2.02-2.05
Pd (0.5000, 0.5000, 0.0000)  2 H 1.96
Pd (0.5889, 0.0891, 0.1785)  2 H 2.02-2.05
Pd (0.6776, 0.6776, 0.3564)  1 H 2.09
Pd (0.9109, 0.4111, 0.8214)  2 H 2.02-2.05

VASP calculation (PBE) on a relaxed InBiHPt2 crystal.

Properties
total DFT energy (no corrections) = -4.240 eV/atom

Cell lengths 4.2806, 4.2806, 4.6175 Å; angles 90.00, 90.00, 90.00 degrees
With the nearest neighbours (Å) after each atom.
Element x y z (fractional)
In (0.0000, 0.0000, 0.0000)  4 Bi 3.03, 8 Pt 3.15
Bi (0.5000, 0.5000, 0.0000)  2 H 2.31
H (0.5000, 0.5000, 0.5000)  4 Pt 2.14, 2 Bi 2.31
Pt (0.0000, 0.5000, 0.5000)  2 H 2.14
Pt (0.5000, 0.0000, 0.5000)  2 H 2.14